No. 1
Density functional theory data (GGA-PBE) for a geometry-optimized NaSr2As structure.

- symmetry = P4/mmm
- uncorrected energy (eV/atom) = -2.843
- DOS at the Fermi energy (states/eV/atom) = 0.243
- magnetic moment (Bohr magnetons per cell) = 0.0

Cell and atoms, written as POSCAR:
```
NaSr2As
1.0
4.406 0.000 0.000
0.000 5.354 0.000
0.000 0.000 5.354
Sr Na As
2 1 1
Cartesian
0.000 2.677 0.000
0.000 0.000 2.677
2.203 0.000 0.000
2.203 2.677 2.677
```

No. 2
Density functional theory data (GGA-PBE) for a geometry-optimized NaSr2As structure.

- symmetry = P4/mmm
- uncorrected energy (eV/atom) = -2.908
- DOS at the Fermi energy (states/eV/atom) = 0.271
- magnetic moment (Bohr magnetons per cell) = 0.0

Cell and atoms, written as POSCAR:
```
NaSr2As
1.0
4.031 0.000 0.000
0.000 4.031 0.000
0.000 0.000 8.576
As Sr Na
1 2 1
Cartesian
2.015 2.015 0.000
0.000 0.000 1.621
0.000 0.000 6.956
2.015 2.015 4.288
```

No. 3
Density functional theory data (GGA-PBE) for a geometry-optimized NaSr2As structure.

- symmetry = R-3m
- uncorrected energy (eV/atom) = -2.976
- DOS at the Fermi energy (states/eV/atom) = 0.230
- magnetic moment (Bohr magnetons per cell) = 0.0

Cell and atoms, written as POSCAR:
```
NaSr2As
1.0
-3.960 2.140 -0.980
-1.789 -0.290 -4.235
-6.629 -6.954 0.771
Sr Na As
2 1 1
Cartesian
-9.656 -4.426 -3.135
-2.722 -0.677 -1.310
-6.189 -2.552 -2.222
0.000 0.000 0.000
```

No. 4
Density functional theory data (GGA-PBE) for a geometry-optimized NaSrAs2 structure.

- symmetry = Fm-3m
- E above lowest polymorph (meV per atom) = 103
- DOS at the Fermi energy (states/eV/atom) = 0.667
- magnetic moment (Bohr magnetons per cell) = 0.0

Cell and atoms, written as POSCAR:
```
NaSrAs2
1.0
0.000 3.702 3.702
3.702 0.000 3.702
3.702 3.702 0.000
As Sr Na
2 1 1
Cartesian
1.851 1.851 1.851
5.553 5.553 5.553
3.702 3.702 3.702
0.000 0.000 0.000
```

No. 5
Density functional theory data (GGA-PBE) for a geometry-optimized NaSr2As2 structure.

- symmetry = P4/mbm
- E above lowest polymorph (meV per atom) = 0
- DOS at the Fermi energy (states/eV/atom) = 0.188
- magnetic moment (Bohr magnetons per cell) = 0.0

Cell and atoms, written as POSCAR:
```
NaSr2As2
1.0
8.887 0.000 0.000
0.000 8.887 0.000
0.000 0.000 3.762
Sr As Na
4 4 2
Cartesian
1.222 5.666 1.881
3.222 1.222 1.881
7.665 3.222 1.881
5.666 7.665 1.881
7.424 5.907 0.000
5.907 1.463 0.000
2.981 7.424 0.000
1.463 2.981 0.000
4.444 4.444 0.000
0.000 0.000 0.000
```

No. 6
Density functional theory data (GGA-PBE) for a geometry-optimized Na4SrAs2 structure.

- symmetry = P4_2/mnm
- uncorrected energy (eV/atom) = -2.878
- DOS at the Fermi energy (states/eV/atom) = 0.071
- magnetic moment (Bohr magnetons per cell) = 0.0

Cell and atoms, written as POSCAR:
```
Na4SrAs2
1.0
-0.118 4.508 -1.822
-3.207 -3.101 -7.464
-8.080 1.020 3.047
Sr Na As
2 8 4
Cartesian
-5.643 -1.041 -2.208
-0.059 2.254 -0.911
-8.097 1.866 -1.349
-5.972 0.069 -5.932
-5.433 2.357 -0.306
-8.251 -2.114 -4.694
-1.885 -0.940 -2.204
-3.036 0.033 0.278
-9.401 -1.141 -2.213
-3.308 0.560 -4.890
-4.234 -2.232 -5.248
-8.082 0.774 -4.050
-7.052 0.151 0.831
-3.323 1.652 -2.188
```